A relaxed structure of TmV2HgO8. Source: the Alexandria database, functional GGA+U.

abc: 7.2061 7.2061 6.4400
angles: 90.00 90.00 90.00
Space group I-4m2 (No. 119)
One atom of each set of equivalent atoms:
Tm 0.0000 0.0000 0.0000 [2 per cell]
V 0.0000 0.0000 0.5000 [2 per cell]
V 0.0000 0.5000 0.2500 [2 per cell]
Hg 0.0000 0.5000 0.7500 [2 per cell]
O 0.0000 0.1813 0.6798 [8 per cell]
O 0.0000 0.3029 0.0937 [8 per cell]

- Theoretical density: 5.95 g/cm3
- DOS(E_F): 19.97 states/eV/cell
- Total energy: -6.761 eV per atom
- M_tot: 2.18 μB per cell
- Crystal system: tetragonal